Computed, not measured: LiZr2S3 after structural relaxation at the PBE level of DFT.

```
LiZr2S3
1.0
3.627 0.000 0.000
0.000 5.122 0.000
0.000 0.000 11.310
Li Zr S
2 4 6
Direct
0.000 0.000 0.000
0.500 0.500 0.500
0.000 0.000 0.326
0.000 0.000 0.674
0.500 0.500 0.174
0.500 0.500 0.826
0.000 0.500 0.000
0.000 0.500 0.344
0.000 0.500 0.656
0.500 0.000 0.156
0.500 0.000 0.500
0.500 0.000 0.844
```

Summary:
The total magnetization comes out at 0.00 μB per atom. The calculation puts the formation energy (no corrections) at -1.505 eV/atom. The space group is Immm. Its crystal system is orthorhombic.


Computed, not measured: AcUZnO6 after structural relaxation at the PBE level of DFT.

```
AcUZnO6
1.0
5.447 0.000 0.000
-2.724 4.717 0.000
0.000 0.000 10.981
Ac U Zn O
2 2 2 12
Direct
0.000 0.000 0.000
0.000 0.000 0.500
0.333 0.667 0.250
0.667 0.333 0.750
0.333 0.667 0.750
0.667 0.333 0.250
0.006 0.365 0.143
0.006 0.641 0.357
0.359 0.365 0.357
0.359 0.994 0.143
0.365 0.006 0.643
0.365 0.359 0.857
0.635 0.641 0.143
0.635 0.994 0.357
0.641 0.006 0.857
0.641 0.635 0.643
0.994 0.359 0.643
0.994 0.635 0.857
```

Summary:
The total magnetization comes out at 0.10 μB per atom. The calculation puts the formation energy (no corrections) at -2.579 eV/atom. The space group is P-31c. Its crystal system is trigonal.


Computed, not measured: Sr2Sn2Hg3 after structural relaxation at the PBE level of DFT.

```
Sr2Sn2Hg3
1.0
2.226 -11.462 0.000
2.226 11.462 0.000
0.000 0.000 8.405
Sr Sn Hg
4 4 6
Direct
0.057 0.943 0.750
0.160 0.840 0.250
0.840 0.160 0.750
0.943 0.057 0.250
0.328 0.672 0.072
0.328 0.672 0.428
0.672 0.328 0.572
0.672 0.328 0.928
0.233 0.767 0.750
0.445 0.555 0.579
0.445 0.555 0.921
0.555 0.445 0.079
0.555 0.445 0.421
0.767 0.233 0.250
```

Summary:
The polymorph energy (0 for the lowest one) comes out at 28 meV per atom. The total magnetization comes out at 0.00 μB per atom. Its formation enthalpy at 0 K is -0.38 eV per atom. The space group is Cmcm. Its crystal system is orthorhombic.


Computed, not measured: CeGdGa after structural relaxation at the PBE level of DFT.

```
CeGdGa
1.0
3.632 0.000 0.000
0.000 3.632 0.000
0.000 0.000 12.299
Ce Gd Ga
2 2 2
Direct
0.000 0.000 0.000
0.500 0.500 0.500
0.000 0.000 0.710
0.500 0.500 0.210
0.000 0.000 0.351
0.500 0.500 0.851
```

Summary:
The polymorph energy (0 for the lowest one) comes out at 0 meV per atom. The total magnetization comes out at 2.98 μB per atom. Its formation enthalpy at 0 K is -0.29 eV per atom. The space group is I4mm. Its crystal system is tetragonal.